No. 1
A relaxed structure of CaIn6Hg, computed with PBE.

Cell: 4.7287 6.7389 6.7389 Å, 84.64 90.00 90.00°
Atoms (fractional coordinates):
In  0.0000  0.2650  0.7350
In  0.5000  0.0000  0.5000
In  0.0000  0.7588  0.7588
In  0.0000  0.2412  0.2412
In  0.5000  0.5000  0.0000
In  0.0000  0.7350  0.2650
Ca  0.5000  0.0000  0.0000
Hg  0.5000  0.5000  0.5000

Values from the calculation:
space group: No. 65
magnetic moment: 0.000 μB/atom
total energy: -19.695 eV/cell


No. 2
A relaxed structure of Ca3In9Hg2, computed with PBE.

Cell: 4.8447 9.2472 9.2472 Å, 76.40 74.81 74.81°
Atoms (fractional coordinates):
In  0.8515  0.4280  0.8691
In  0.3541  0.0196  0.2722
In  0.1485  0.1309  0.5720
In  0.3541  0.2722  0.0196
In  0.6459  0.7278  0.9804
In  0.1485  0.5720  0.1309
In  0.0000  0.5000  0.5000
In  0.8515  0.8691  0.4280
In  0.6459  0.9804  0.7278
Hg  0.5000  0.6712  0.3288
Hg  0.5000  0.3288  0.6712
Ca  0.0000  0.0000  0.0000
Ca  0.6943  0.3057  0.3057
Ca  0.3057  0.6943  0.6943

Values from the calculation:
space group: No. 71
magnetic moment: 0.000 μB/atom
total energy: -34.937 eV/cell


No. 3
A relaxed structure of CaIn4Hg8, computed with PBE.

Cell: 8.3130 8.3130 8.3130 Å, 60.00 60.00 60.00°
Atoms (fractional coordinates):
Hg  0.1869  0.6044  0.6044
Hg  0.0945  0.0945  0.0945
Hg  0.6044  0.6044  0.1869
Hg  0.6044  0.1869  0.6044
Hg  0.7166  0.0945  0.0945
Hg  0.0945  0.0945  0.7166
Hg  0.0945  0.7166  0.0945
Hg  0.6044  0.6044  0.6044
In  0.3502  0.3502  0.9495
In  0.9495  0.3502  0.3502
In  0.3502  0.9495  0.3502
In  0.3502  0.3502  0.3502
Ca  0.7500  0.7500  0.7500

Values from the calculation:
space group: No. 216
magnetic moment: 0.000 μB/atom
total energy: -15.055 eV/cell
energy above the most stable polymorph in this dataset: 0 meV per atom


No. 4
A relaxed structure of Ca2InHg4, computed with PBE.

Cell: 5.4455 5.4455 8.9179 Å, 107.78 107.78 90.00°
Atoms (fractional coordinates):
Hg  0.1892  0.1892  0.3785
Hg  0.5000  0.0000  0.0000
Hg  0.8108  0.8108  0.6215
Hg  0.0000  0.5000  0.0000
In  0.0000  0.0000  0.0000
Ca  0.3803  0.3803  0.7606
Ca  0.6197  0.6197  0.2394

Values from the calculation:
space group: No. 139
magnetic moment: 0.000 μB/atom
total energy: -8.691 eV/cell
energy above the most stable polymorph in this dataset: 232 meV per atom


No. 5
A relaxed structure of CaIn3Hg3, computed with PBE.

Cell: 7.3766 7.3766 7.0024 Å, 87.28 87.28 94.47°
Atoms (fractional coordinates):
Hg  0.0025  0.0025  0.7805
Hg  0.4903  0.9991  0.2615
Hg  0.9991  0.4903  0.2615
Hg  0.5097  0.0009  0.7385
Hg  0.9975  0.9975  0.2195
Hg  0.0009  0.5097  0.7385
In  0.2195  0.2195  0.4849
In  0.7805  0.7805  0.5151
In  0.2583  0.7417  0.0000
In  0.7417  0.2583  0.0000
In  0.3540  0.6460  0.5000
In  0.6460  0.3540  0.5000
Ca  0.2871  0.2871  0.9811
Ca  0.7129  0.7129  0.0189

Values from the calculation:
space group: No. 12
magnetic moment: 0.000 μB/atom
total energy: -24.469 eV/cell
energy above the most stable polymorph in this dataset: 23 meV per atom


No. 6
A relaxed structure of CaInHg14, computed with PBE.

Cell: 6.6783 6.6783 10.6164 Å, 90.00 90.00 116.04°
Atoms (fractional coordinates):
Hg  0.3283  0.6717  0.2494
Hg  0.3283  0.6717  0.7506
Hg  0.1740  0.3493  0.0000
Hg  0.6507  0.8260  0.0000
Hg  0.8265  0.6481  0.2490
Hg  0.8265  0.6481  0.7510
Hg  0.3519  0.1735  0.7510
Hg  0.3519  0.1735  0.2490
Hg  0.1745  0.3566  0.5000
Hg  0.6434  0.8255  0.5000
Hg  0.1459  0.8541  0.5000
Hg  0.6661  0.3339  0.5000
Hg  0.8495  0.1505  0.2573
Hg  0.8495  0.1505  0.7427
In  0.6788  0.3212  0.0000
Ca  0.1541  0.8459  0.0000

Values from the calculation:
space group: No. 38
magnetic moment: 0.000 μB/atom
total energy: -10.290 eV/cell


No. 7
A relaxed structure of CaInHg2, computed with PBE.

Cell: 5.2563 5.2563 5.8681 Å, 74.55 74.55 43.96°
Atoms (fractional coordinates):
Hg  0.9966  0.9966  0.0116
Hg  0.5034  0.5034  0.4884
Ca  0.7500  0.7500  0.7500
In  0.2500  0.2500  0.2500

Values from the calculation:
space group: No. 12
magnetic moment: 0.000 μB/atom
total energy: -6.628 eV/cell


No. 8
A relaxed structure of Ca2InHg, computed with PBE.

Cell: 5.4169 5.4168 5.4168 Å, 60.00 60.00 60.00°
Atoms (fractional coordinates):
Ca  0.0000  0.0000  0.0000
Ca  0.5000  0.5000  0.5000
Hg  0.2500  0.2500  0.2500
In  0.7500  0.7500  0.7500

Values from the calculation:
space group: No. 225
magnetic moment: 0.000 μB/atom
total energy: -9.097 eV/cell


no.,formation energy from the elements (meV per atom)
1,-120
2,-263
3,24
4,-106
5,-159
6,-83
7,-321
8,-513